# 1
A plane-wave DFT calculation with PBE was carried out for a geometry-optimized TbMoAs structure.

a = 5.354 Å, b = 5.354 Å, c = 7.183 Å
α = 102.04°, β = 102.04°, γ = 40.70°
Atoms (fractional coordinates):
Tb (0.114, 0.114, 0.313)
Tb (0.886, 0.886, 0.687)
Mo (0.383, 0.383, 0.039)
Mo (0.617, 0.617, 0.961)
As (0.175, 0.175, 0.736)
As (0.825, 0.825, 0.264)

Results
Total moment = 0.00 Bohr magnetons per cell
Space-group type = C2/m
Formation enthalpy at 0 K = -498 meV/atom
VASP energy = -43.21 eV for the cell shown

# 2
A plane-wave DFT calculation with PBE was carried out for a geometry-optimized TcMoAs2 structure.

a = 3.010 Å, b = 3.962 Å, c = 5.386 Å
α = 90.00°, β = 92.43°, γ = 90.00°
Atoms (fractional coordinates):
Tc (0.000, 0.000, 0.000)
Mo (0.500, 0.000, 0.500)
As (0.156, 0.500, 0.743)
As (0.844, 0.500, 0.257)

Results
Offset from the most stable computed form = 423 meV per atom
Total moment = 0.00 Bohr magnetons per cell
Space-group type = P2/m
Formation enthalpy at 0 K = 282 meV/atom
VASP energy = -29.37 eV for the cell shown

# 3
A plane-wave DFT calculation with PBE was carried out for a geometry-optimized TcMoAs2 structure.

a = 3.002 Å, b = 3.002 Å, c = 8.002 Å
α = 90.00°, β = 90.00°, γ = 117.13°
Atoms (fractional coordinates):
Tc (0.000, 0.000, 0.000)
Mo (0.000, 0.000, 0.500)
As (0.500, 0.500, 0.247)
As (0.500, 0.500, 0.753)

Results
Offset from the most stable computed form = 455 meV per atom
Total moment = 0.00 Bohr magnetons per cell
Space-group type = Cmmm
Formation enthalpy at 0 K = 314 meV/atom
VASP energy = -29.24 eV for the cell shown

# 4
A plane-wave DFT calculation with PBE was carried out for a geometry-optimized TcMoAs2 structure.

a = 4.387 Å, b = 4.387 Å, c = 3.094 Å
α = 90.00°, β = 90.00°, γ = 90.00°
Atoms (fractional coordinates):
Tc (0.000, 0.000, 0.000)
Mo (0.500, 0.500, 0.000)
As (0.000, 0.500, 0.500)
As (0.500, 0.000, 0.500)

Results
Offset from the most stable computed form = 74 meV per atom
Total moment = 0.00 Bohr magnetons per cell
Space-group type = P4/mmm
Formation enthalpy at 0 K = -66 meV/atom
VASP energy = -30.76 eV for the cell shown

# 5
A plane-wave DFT calculation with PBE was carried out for a geometry-optimized Tc4MoAs structure.

a = 5.123 Å, b = 5.123 Å, c = 5.123 Å
α = 60.00°, β = 60.00°, γ = 60.00°
Atoms (fractional coordinates):
Tc (0.124, 0.124, 0.124)
Tc (0.124, 0.124, 0.627)
Tc (0.124, 0.627, 0.124)
Tc (0.627, 0.124, 0.124)
Mo (0.500, 0.500, 0.500)
As (0.750, 0.750, 0.750)

Results
Total moment = 0.00 Bohr magnetons per cell
Space-group type = F-43m
Formation enthalpy at 0 K = 488 meV/atom
VASP energy = -54.01 eV for the cell shown

# 6
A plane-wave DFT calculation with PBE was carried out for a geometry-optimized TcMoAs2 structure.

a = 8.032 Å, b = 8.032 Å, c = 8.032 Å
α = 21.72°, β = 21.72°, γ = 21.72°
Atoms (fractional coordinates):
Tc (0.000, 0.000, 0.000)
Mo (0.500, 0.500, 0.500)
As (0.252, 0.252, 0.252)
As (0.748, 0.748, 0.748)

Results
Offset from the most stable computed form = 245 meV per atom
Total moment = 0.00 Bohr magnetons per cell
Space-group type = R-3m
Formation enthalpy at 0 K = 104 meV/atom
VASP energy = -30.08 eV for the cell shown

# 7
A plane-wave DFT calculation with PBE was carried out for a geometry-optimized TcMoAs2 structure.

a = 3.099 Å, b = 4.012 Å, c = 5.175 Å
α = 90.00°, β = 90.00°, γ = 90.00°
Atoms (fractional coordinates):
Tc (0.000, 0.000, 0.000)
Mo (0.500, 0.000, 0.500)
As (0.000, 0.500, 0.500)
As (0.500, 0.500, 0.000)

Results
Offset from the most stable computed form = 451 meV per atom
Total moment = 0.00 Bohr magnetons per cell
Space-group type = Pmmm
Formation enthalpy at 0 K = 311 meV/atom
VASP energy = -29.25 eV for the cell shown

# 8
A plane-wave DFT calculation with PBE was carried out for a geometry-optimized TcMoAs2 structure.

a = 8.980 Å, b = 8.980 Å, c = 8.980 Å
α = 154.21°, β = 154.21°, γ = 36.80°
Atoms (fractional coordinates):
Tc (0.000, 0.000, 0.000)
Tc (0.750, 0.250, 0.500)
Mo (0.250, 0.750, 0.500)
Mo (0.500, 0.500, 0.000)
As (0.118, 0.625, 0.993)
As (0.375, 0.368, 0.493)
As (0.632, 0.125, 0.007)
As (0.875, 0.882, 0.507)

Results
Offset from the most stable computed form = 513 meV per atom
Total moment = 0.00 Bohr magnetons per cell
Space-group type = I-42d
Formation enthalpy at 0 K = 373 meV/atom
VASP energy = -58.01 eV for the cell shown

# 9
A plane-wave DFT calculation with PBE was carried out for a geometry-optimized TcMoAs3 structure.

a = 4.793 Å, b = 4.793 Å, c = 4.793 Å
α = 90.00°, β = 90.00°, γ = 90.00°
Atoms (fractional coordinates):
Tc (0.000, 0.000, 0.000)
Mo (0.500, 0.500, 0.500)
As (0.000, 0.000, 0.500)
As (0.000, 0.500, 0.000)
As (0.500, 0.000, 0.000)

Results
Offset from the most stable computed form = 0 meV per atom
Total moment = 3.54 Bohr magnetons per cell
Space-group type = Pm-3m
Formation enthalpy at 0 K = 1012 meV/atom
VASP energy = -30.09 eV for the cell shown

# 10
A plane-wave DFT calculation with PBE was carried out for a geometry-optimized TcMoAs2 structure.

a = 2.814 Å, b = 2.814 Å, c = 9.767 Å
α = 90.00°, β = 90.00°, γ = 112.30°
Atoms (fractional coordinates):
Tc (0.000, 0.000, 0.000)
Mo (0.500, 0.500, 0.225)
As (0.000, 0.000, 0.440)
As (0.500, 0.500, 0.794)

Results
Offset from the most stable computed form = 337 meV per atom
Total moment = 0.00 Bohr magnetons per cell
Space-group type = Cmm2
Formation enthalpy at 0 K = 196 meV/atom
VASP energy = -29.71 eV for the cell shown

# 11
A plane-wave DFT calculation with PBE was carried out for a geometry-optimized TcMoAs2 structure.

a = 10.544 Å, b = 10.544 Å, c = 10.544 Å
α = 15.82°, β = 15.82°, γ = 15.82°
Atoms (fractional coordinates):
Tc (0.000, 0.000, 0.000)
Mo (0.736, 0.736, 0.736)
As (0.269, 0.269, 0.269)
As (0.471, 0.471, 0.471)

Results
Offset from the most stable computed form = 191 meV per atom
Total moment = 0.00 Bohr magnetons per cell
Space-group type = R3m
Formation enthalpy at 0 K = 50 meV/atom
VASP energy = -30.30 eV for the cell shown

# 12
A plane-wave DFT calculation with PBE was carried out for a geometry-optimized TcMoAs2 structure.

a = 4.697 Å, b = 4.697 Å, c = 4.587 Å
α = 105.77°, β = 105.77°, γ = 39.33°
Atoms (fractional coordinates):
Tc (0.000, 0.000, 0.000)
Mo (0.758, 0.758, 0.385)
As (0.262, 0.262, 0.868)
As (0.498, 0.498, 0.515)

Results
Offset from the most stable computed form = 44 meV per atom
Total moment = 0.00 Bohr magnetons per cell
Space-group type = Cm
Formation enthalpy at 0 K = -97 meV/atom
VASP energy = -30.88 eV for the cell shown

# 13
A plane-wave DFT calculation with PBE was carried out for a geometry-optimized TcMoAs2 structure.

a = 6.391 Å, b = 6.391 Å, c = 6.391 Å
α = 150.16°, β = 150.03°, γ = 42.80°
Atoms (fractional coordinates):
Tc (0.000, 0.000, 0.000)
Mo (0.751, 0.251, 0.500)
As (0.164, 0.664, 0.500)
As (0.414, 0.414, 0.000)

Results
Offset from the most stable computed form = 0 meV per atom
Total moment = 0.00 Bohr magnetons per cell
Space-group type = Imm2
Formation enthalpy at 0 K = -141 meV/atom
VASP energy = -31.06 eV for the cell shown

# 14
A plane-wave DFT calculation with PBE was carried out for a geometry-optimized TcMoAs2 structure.

a = 3.263 Å, b = 3.263 Å, c = 5.892 Å
α = 90.00°, β = 90.00°, γ = 90.00°
Atoms (fractional coordinates):
Tc (0.000, 0.000, 0.000)
Mo (0.500, 0.500, 0.672)
As (0.000, 0.000, 0.493)
As (0.500, 0.500, 0.182)

Results
Offset from the most stable computed form = 90 meV per atom
Total moment = 0.00 Bohr magnetons per cell
Space-group type = P4mm
Formation enthalpy at 0 K = -51 meV/atom
VASP energy = -30.70 eV for the cell shown